[1]
{
  "formula": "TaTcAu2",
  "functional": "GGA-PBE",
  "state": "optimized geometry",
  "cell": [[5.495, 0.000, 0.000], [0.000, 8.555, 0.000], [0.000, 0.000, 2.863]],
  "species": ["Ta", "Ta", "Tc", "Tc", "Au", "Au", "Au", "Au"],
  "frac_coords": [[0.000, 0.000, 0.000], [0.500, 0.500, 0.000], [0.000, 0.500, 0.000], [0.500, 0.000, 0.000], [0.250, 0.250, 0.500], [0.250, 0.750, 0.500], [0.750, 0.250, 0.500], [0.750, 0.750, 0.500]],
  "delta_e_f_ev_per_atom": 0.137,
  "energy_ev_per_cell": -56.4,
  "dos_ef_per_ev_atom": 0.593
}

=====

[2]
{
  "formula": "BaBi2Te3",
  "functional": "GGA-PBE",
  "state": "optimized geometry",
  "cell": [[5.001, -7.508, 0.000], [5.001, 7.508, 0.000], [0.000, 0.000, 6.449]],
  "species": ["Ba", "Ba", "Bi", "Bi", "Bi", "Bi", "Te", "Te", "Te", "Te", "Te", "Te"],
  "frac_coords": [[0.210, 0.790, 0.750], [0.790, 0.210, 0.250], [0.342, 0.342, 0.000], [0.342, 0.342, 0.500], [0.658, 0.658, 0.000], [0.658, 0.658, 0.500], [0.034, 0.363, 0.750], [0.321, 0.679, 0.250], [0.363, 0.034, 0.250], [0.637, 0.966, 0.750], [0.679, 0.321, 0.750], [0.966, 0.637, 0.250]],
  "energy_ev_per_cell": -43.6,
  "dos_ef_per_ev_atom": 0.399
}

=====

[3]
{
  "formula": "AlTlSN2",
  "functional": "GGA-PBE",
  "state": "optimized geometry",
  "cell": [[4.226, 0.000, 0.000], [0.000, 4.226, 0.000], [0.000, 0.000, 5.794]],
  "species": ["Al", "Tl", "S", "N", "N"],
  "frac_coords": [[0.000, 0.000, 0.000], [0.500, 0.500, 0.500], [0.500, 0.500, 0.000], [0.000, 0.500, 0.500], [0.500, 0.000, 0.500]],
  "energy_ev_per_cell": -18.0,
  "dos_ef_per_ev_atom": 0.620
}

=====

[4]
{
  "formula": "Cd2SiHg",
  "functional": "GGA-PBE",
  "state": "optimized geometry",
  "cell": [[7.050, 0.000, 0.000], [0.000, 7.050, 0.000], [0.000, 0.000, 7.050]],
  "species": ["Cd", "Cd", "Cd", "Cd", "Cd", "Cd", "Cd", "Cd", "Si", "Si", "Si", "Si", "Hg", "Hg", "Hg", "Hg"],
  "frac_coords": [[0.250, 0.250, 0.250], [0.250, 0.250, 0.750], [0.250, 0.750, 0.250], [0.250, 0.750, 0.750], [0.750, 0.250, 0.250], [0.750, 0.250, 0.750], [0.750, 0.750, 0.250], [0.750, 0.750, 0.750], [0.000, 0.000, 0.000], [0.000, 0.500, 0.500], [0.500, 0.000, 0.500], [0.500, 0.500, 0.000], [0.000, 0.000, 0.500], [0.000, 0.500, 0.000], [0.500, 0.000, 0.000], [0.500, 0.500, 0.500]],
  "energy_ev_per_cell": -24.8,
  "dos_ef_per_ev_atom": 0.267
}

=====

[5]
{
  "formula": "La3IrI2",
  "functional": "GGA-PBE",
  "state": "optimized geometry",
  "cell": [[4.141, 0.000, 0.000], [0.000, 6.413, 0.000], [0.000, 0.000, 15.216]],
  "species": ["La", "La", "La", "La", "La", "La", "Ir", "Ir", "I", "I", "I", "I"],
  "frac_coords": [[0.000, 0.000, 0.000], [0.000, 0.000, 0.378], [0.000, 0.000, 0.622], [0.500, 0.500, 0.122], [0.500, 0.500, 0.500], [0.500, 0.500, 0.878], [0.000, 0.500, 0.000], [0.500, 0.000, 0.500], [0.000, 0.500, 0.317], [0.000, 0.500, 0.683], [0.500, 0.000, 0.183], [0.500, 0.000, 0.817]],
  "energy_ev_per_cell": -66.1,
  "dos_ef_per_ev_atom": 0.796
}

=====

[6]
{
  "formula": "ZrVReOs",
  "functional": "GGA-PBE",
  "state": "optimized geometry",
  "cell": [[6.334, 0.000, 0.000], [0.000, 6.334, 0.000], [0.000, 0.000, 6.334]],
  "species": ["Zr", "Zr", "Zr", "Zr", "V", "V", "V", "V", "Re", "Re", "Re", "Re", "Os", "Os", "Os", "Os"],
  "frac_coords": [[0.000, 0.000, 0.000], [0.000, 0.500, 0.500], [0.500, 0.000, 0.500], [0.500, 0.500, 0.000], [0.000, 0.000, 0.500], [0.000, 0.500, 0.000], [0.500, 0.000, 0.000], [0.500, 0.500, 0.500], [0.250, 0.250, 0.750], [0.250, 0.750, 0.250], [0.750, 0.250, 0.250], [0.750, 0.750, 0.750], [0.250, 0.250, 0.250], [0.250, 0.750, 0.750], [0.750, 0.250, 0.750], [0.750, 0.750, 0.250]],
  "delta_e_f_ev_per_atom": -0.245,
  "energy_ev_per_cell": -169.3,
  "dos_ef_per_ev_atom": 0.357
}

=====

[7]
{
  "formula": "Cs2MnAlTe4",
  "functional": "GGA-PBE",
  "state": "optimized geometry",
  "cell": [[0.000, 7.164, 13.873], [3.345, 0.000, 13.873], [3.345, 7.164, 0.000]],
  "species": ["Cs", "Cs", "Cs", "Cs", "Mn", "Mn", "Al", "Al", "Te", "Te", "Te", "Te", "Te", "Te", "Te", "Te"],
  "frac_coords": [[0.057, 0.057, 0.693], [0.307, 0.307, 0.943], [0.693, 0.693, 0.057], [0.943, 0.943, 0.307], [0.375, 0.375, 0.375], [0.625, 0.625, 0.625], [0.125, 0.125, 0.125], [0.875, 0.875, 0.875], [0.024, 0.339, 0.409], [0.272, 0.591, 0.661], [0.339, 0.024, 0.728], [0.409, 0.728, 0.024], [0.591, 0.272, 0.976], [0.661, 0.976, 0.272], [0.728, 0.409, 0.339], [0.976, 0.661, 0.591]],
  "energy_ev_per_cell": -65.3,
  "dos_ef_per_ev_atom": 0.421
}

=====

[8]
{
  "formula": "SrIr2Rh",
  "functional": "GGA-PBE",
  "state": "optimized geometry",
  "cell": [[2.844, 0.000, 0.000], [0.000, 3.856, 0.000], [0.000, 0.000, 6.816]],
  "species": ["Sr", "Ir", "Ir", "Rh"],
  "frac_coords": [[0.000, 0.000, 0.000], [0.000, 0.000, 0.484], [0.500, 0.500, 0.322], [0.500, 0.500, 0.703]],
  "delta_e_f_ev_per_atom": 0.211,
  "energy_ev_per_cell": -25.9,
  "dos_ef_per_ev_atom": 1.169
}

=====

[9]
{
  "formula": "Zr6TcNi5",
  "functional": "GGA-PBE",
  "state": "optimized geometry",
  "cell": [[4.588, 0.000, 0.000], [0.000, 6.434, 0.000], [-2.253, 0.000, 6.859]],
  "species": ["Zr", "Zr", "Zr", "Zr", "Zr", "Zr", "Tc", "Ni", "Ni", "Ni", "Ni", "Ni"],
  "frac_coords": [[0.000, 0.249, 0.000], [0.000, 0.751, 0.000], [0.335, 0.250, 0.664], [0.335, 0.750, 0.664], [0.665, 0.250, 0.336], [0.665, 0.750, 0.336], [0.500, 0.500, 0.000], [0.155, 0.000, 0.328], [0.155, 0.500, 0.327], [0.500, 0.000, 0.000], [0.845, 0.000, 0.672], [0.845, 0.500, 0.673]],
  "delta_e_f_ev_per_atom": -0.358,
  "energy_ev_per_cell": -94.9,
  "dos_ef_per_ev_atom": 1.118
}

=====

[10]
{
  "formula": "Sr2TlPb4",
  "functional": "GGA-PBE",
  "state": "optimized geometry",
  "cell": [[0.000, 5.432, 6.617], [3.454, 0.000, 6.617], [3.454, 5.432, 0.000]],
  "species": ["Sr", "Sr", "Tl", "Pb", "Pb", "Pb", "Pb"],
  "frac_coords": [[0.148, 0.148, 0.852], [0.852, 0.852, 0.148], [0.500, 0.500, 0.500], [0.000, 0.000, 0.500], [0.250, 0.250, 0.250], [0.500, 0.500, 0.000], [0.750, 0.750, 0.750]],
  "delta_e_f_ev_per_atom": -0.219,
  "energy_ev_per_cell": -22.1,
  "dos_ef_per_ev_atom": 0.733
}

=====

[11]
{
  "formula": "Sb7Te",
  "functional": "GGA-PBE",
  "state": "optimized geometry",
  "cell": [[0.000, 4.788, 4.788], [4.788, 0.000, 4.788], [4.788, 4.788, 0.000]],
  "species": ["Sb", "Sb", "Sb", "Sb", "Sb", "Sb", "Sb", "Te"],
  "frac_coords": [[0.000, 0.000, 0.000], [0.000, 0.000, 0.500], [0.000, 0.500, 0.000], [0.000, 0.500, 0.500], [0.500, 0.000, 0.000], [0.500, 0.000, 0.500], [0.500, 0.500, 0.000], [0.500, 0.500, 0.500]],
  "energy_ev_per_cell": -29.4,
  "dos_ef_per_ev_atom": 0.477
}

=====

[12]
{
  "formula": "Mg2ZrW",
  "functional": "GGA-PBE",
  "state": "optimized geometry",
  "cell": [[2.770, 0.000, 0.000], [0.000, 4.774, 0.000], [-1.042, 0.000, 5.899]],
  "species": ["Mg", "Mg", "Zr", "W"],
  "frac_coords": [[0.000, 0.000, 0.000], [0.208, 0.500, 0.759], [0.490, 0.000, 0.478], [0.789, 0.500, 0.249]],
  "delta_e_f_ev_per_atom": 0.322,
  "energy_ev_per_cell": -23.4,
  "dos_ef_per_ev_atom": 1.112
}

=====

Please write out number 8 again, unchanged.
{
  "formula": "SrIr2Rh",
  "functional": "GGA-PBE",
  "state": "optimized geometry",
  "cell": [[2.844, 0.000, 0.000], [0.000, 3.856, 0.000], [0.000, 0.000, 6.816]],
  "species": ["Sr", "Ir", "Ir", "Rh"],
  "frac_coords": [[0.000, 0.000, 0.000], [0.000, 0.000, 0.484], [0.500, 0.500, 0.322], [0.500, 0.500, 0.703]],
  "delta_e_f_ev_per_atom": 0.211,
  "energy_ev_per_cell": -25.9,
  "dos_ef_per_ev_atom": 1.169
}